1.
## LaTlAg2 (GGA-PBE)

Data for a relaxed structure of LaTlAg2.

* calculated volume: 228.0 Å³/cell
* space group: No. 122
* density: 8.141 Mg/m³
* calculated formation energy: 68 meV/atom
* DOS at the Fermi energy: 10.22 states/eV/cell

Cell lengths 10.5199, 10.5199, 10.5199 Å; angles 153.71, 153.71, 37.52 degrees
Closest atoms and distances in Å follow each position.
Fractional positions:
1 La 0.0000 0.0000 0.0000  4 Ag 3.19, 4 Tl 3.38
2 La 0.7500 0.2500 0.5000  4 Ag 3.19, 4 Tl 3.38
3 Tl 0.2500 0.7500 0.5000  4 Ag 2.87
4 Tl 0.5000 0.5000 0.0000  4 Ag 2.87
5 Ag 0.2090 0.6250 0.0840  2 Ag 2.87, 2 Tl 2.87, 2 La 3.19
6 Ag 0.3750 0.4590 0.5840  2 Ag 2.87, 2 Tl 2.87, 2 La 3.19
7 Ag 0.5410 0.1250 0.9160  2 Ag 2.87, 2 Tl 2.87, 2 La 3.19
8 Ag 0.8750 0.7910 0.4160  2 Ag 2.87, 2 Tl 2.87, 2 La 3.19


2.
## La11Tl9Ag4 (GGA-PBE)

Data for a relaxed structure of La11Tl9Ag4.

* calculated volume: 713.0 Å³/cell
* space group: No. 65
* density: 8.847 Mg/m³
* calculated formation energy: -381 meV/atom
* DOS at the Fermi energy: 20.13 states/eV/cell

Cell lengths 13.9891, 13.9891, 3.9558 Å; angles 90.00, 90.00, 112.92 degrees
Closest atoms and distances in Å follow each position.
Fractional positions:
1 La 0.0000 0.0000 0.0000  8 Tl 3.42, 2 La 3.82
2 La 0.0603 0.4107 0.0000  2 Ag 3.15, 6 Tl 3.41-3.50, 1 La 3.52
3 La 0.1638 0.8362 0.0000  8 Tl 3.48-3.64, 3 La 3.65-3.82
4 La 0.3000 0.3000 0.0000  4 Ag 3.15
5 La 0.3686 0.6314 0.0000  4 Ag 3.16, 4 Tl 3.53
6 La 0.4107 0.0603 0.0000  2 Ag 3.15, 6 Tl 3.41-3.50, 1 La 3.52
7 La 0.5893 0.9397 0.0000  2 Ag 3.15, 6 Tl 3.41-3.50, 1 La 3.52
8 La 0.6314 0.3686 0.0000  4 Ag 3.16, 4 Tl 3.53
9 La 0.7000 0.7000 0.0000  4 Ag 3.15
10 La 0.8362 0.1638 0.0000  8 Tl 3.48-3.64, 3 La 3.65-3.82
11 La 0.9397 0.5893 0.0000  2 Ag 3.15, 6 Tl 3.41-3.50, 1 La 3.52
12 Tl 0.0697 0.2162 0.5000  1 Ag 3.22, 6 La 3.41-3.57, 1 Tl 3.42
13 Tl 0.1589 0.6298 0.5000  1 Ag 3.23, 1 Tl 3.27, 8 La 3.45-3.53
14 Tl 0.2162 0.0697 0.5000  1 Ag 3.22, 6 La 3.41-3.57, 1 Tl 3.42
15 Tl 0.3702 0.8411 0.5000  1 Ag 3.23, 1 Tl 3.27, 8 La 3.45-3.53
16 Tl 0.5000 0.5000 0.5000  4 Ag 3.33, 8 La 3.65-3.67
17 Tl 0.6298 0.1589 0.5000  1 Ag 3.23, 1 Tl 3.27, 8 La 3.45-3.53
18 Tl 0.7838 0.9303 0.5000  1 Ag 3.22, 6 La 3.41-3.57, 1 Tl 3.42
19 Tl 0.8411 0.3702 0.5000  1 Ag 3.23, 1 Tl 3.27, 8 La 3.45-3.53
20 Tl 0.9303 0.7838 0.5000  1 Ag 3.22, 6 La 3.41-3.57, 1 Tl 3.42
21 Ag 0.2468 0.4477 0.5000  6 La 3.15-3.16, 3 Tl 3.22-3.33
22 Ag 0.4477 0.2468 0.5000  6 La 3.15-3.16, 3 Tl 3.22-3.33
23 Ag 0.5523 0.7532 0.5000  6 La 3.15-3.16, 3 Tl 3.22-3.33
24 Ag 0.7532 0.5523 0.5000  6 La 3.15-3.16, 3 Tl 3.22-3.33


3.
## La2Tl2Ag (GGA-PBE)

Data for a relaxed structure of La2Tl2Ag.

* calculated volume: 297.4 Å³/cell
* space group: No. 12
* density: 8.871 Mg/m³
* calculated formation energy: -342 meV/atom
* DOS at the Fermi energy: 9.81 states/eV/cell

Cell lengths 6.2889, 6.2889, 11.6813 Å; angles 113.96, 113.96, 45.83 degrees
Closest atoms and distances in Å follow each position.
Fractional positions:
1 La 0.0236 0.0236 0.3393  4 Ag 3.34-3.63, 7 Tl 3.41-3.56
2 La 0.1747 0.1747 0.1058  6 Tl 3.29-3.51, 2 Ag 3.52
3 La 0.8253 0.8253 0.8942  6 Tl 3.29-3.51, 2 Ag 3.52
4 La 0.9764 0.9764 0.6607  4 Ag 3.34-3.63, 7 Tl 3.41-3.56
5 Tl 0.3553 0.3553 0.4282  2 Ag 2.85, 1 Tl 3.02
6 Tl 0.4637 0.4637 0.1176  1 Ag 2.95, 1 Tl 3.21, 1 La 3.29
7 Tl 0.5363 0.5363 0.8824  1 Ag 2.95, 1 Tl 3.21, 1 La 3.29
8 Tl 0.6447 0.6447 0.5718  2 Ag 2.85, 1 Tl 3.02
9 Ag 0.2806 0.2806 0.6617  3 Tl 2.85-2.95
10 Ag 0.7194 0.7194 0.3383  3 Tl 2.85-2.95


4.
## La4TlAg (GGA-PBE)

Data for a relaxed structure of La4TlAg.

* calculated volume: 194.2 Å³/cell
* space group: No. 216
* density: 7.420 Mg/m³
* calculated formation energy: 234 meV/atom
* DOS at the Fermi energy: 7.78 states/eV/cell

Cell lengths 6.5004, 6.5004, 6.5004 Å; angles 60.00, 60.00, 60.00 degrees
Closest atoms and distances in Å follow each position.
Fractional positions:
1 La 0.1237 0.1237 0.1237  6 La 3.22-3.29
2 La 0.1237 0.1237 0.6290  6 La 3.22-3.29
3 La 0.1237 0.6290 0.1237  6 La 3.22-3.29
4 La 0.6290 0.1237 0.1237  6 La 3.22-3.29
5 Tl 0.7500 0.7500 0.7500  12 La 3.81, 4 Ag 3.98
6 Ag 0.5000 0.5000 0.5000  12 La 3.82, 4 Tl 3.98


5.
## La2TlAg2 (GGA-PBE)

Data for a relaxed structure of La2TlAg2.

* calculated volume: 143.1 Å³/cell
* space group: No. 139
* density: 8.100 Mg/m³
* calculated formation energy: -173 meV/atom
* DOS at the Fermi energy: 5.27 states/eV/cell

Cell lengths 9.7944, 9.7944, 9.7944 Å; angles 157.02, 157.02, 32.72 degrees
Closest atoms and distances in Å follow each position.
Fractional positions:
1 La 0.1095 0.1095 0.0000  4 Ag 3.28, 4 Tl 3.44
2 La 0.8905 0.8905 0.0000  4 Ag 3.28, 4 Tl 3.44
3 Tl 0.5000 0.5000 0.0000  8 La 3.44
4 Ag 0.2500 0.7500 0.5000  4 Ag 2.76
5 Ag 0.7500 0.2500 0.5000  4 Ag 2.76


6.
## La5Tl2Ag (GGA-PBE)

Data for a relaxed structure of La5Tl2Ag.

* calculated volume: 514.5 Å³/cell
* space group: No. 55
* density: 7.818 Mg/m³
* calculated formation energy: -285 meV/atom
* DOS at the Fermi energy: 21.18 states/eV/cell

Cell lengths 6.9989, 13.7748, 5.3366 Å; angles 90.00, 90.00, 90.00 degrees
Closest atoms and distances in Å follow each position.
Fractional positions:
1 La 0.0000 0.0000 0.0000  4 Tl 3.49, 2 Ag 3.50, 6 La 3.78-3.91
2 La 0.1063 0.2783 0.0000  1 Ag 3.14, 2 Tl 3.34
3 La 0.1769 0.6032 0.5000  2 Ag 3.27, 3 Tl 3.34-3.64
4 La 0.3231 0.1032 0.5000  2 Ag 3.27, 3 Tl 3.34-3.64
5 La 0.3937 0.7783 0.0000  1 Ag 3.14, 2 Tl 3.34
6 La 0.5000 0.5000 0.0000  4 Tl 3.49, 2 Ag 3.50, 6 La 3.78-3.91
7 La 0.6063 0.2217 0.0000  1 Ag 3.14, 2 Tl 3.34
8 La 0.6769 0.8968 0.5000  2 Ag 3.27, 3 Tl 3.34-3.64
9 La 0.8231 0.3968 0.5000  2 Ag 3.27, 3 Tl 3.34-3.64
10 La 0.8937 0.7217 0.0000  1 Ag 3.14, 2 Tl 3.34
11 Tl 0.1474 0.8543 0.5000  9 La 3.34-3.69
12 Tl 0.3526 0.3543 0.5000  9 La 3.34-3.69
13 Tl 0.6474 0.6457 0.5000  9 La 3.34-3.69
14 Tl 0.8526 0.1457 0.5000  9 La 3.34-3.69
15 Ag 0.0000 0.5000 0.0000  8 La 3.14-3.50
16 Ag 0.5000 0.0000 0.0000  8 La 3.14-3.50


7.
## LaTmTlAg (GGA-PBE)

Data for a relaxed structure of LaTmTlAg.

* calculated volume: 108.6 Å³/cell
* space group: No. 99
* density: 9.483 Mg/m³
* calculated formation energy: -344 meV/atom
* DOS at the Fermi energy: 2.84 states/eV/cell

Cell lengths 3.6934, 3.6934, 7.9604 Å; angles 90.00, 90.00, 90.00 degrees
Closest atoms and distances in Å follow each position.
Fractional positions:
1 La 0.0000 0.0000 0.0000  4 Ag 3.41, 4 Tl 3.44, 4 La 3.69, 1 Tm 3.74
2 Tm 0.0000 0.0000 0.5301  4 Ag 3.04, 4 Tl 3.28
3 Tl 0.5000 0.5000 0.2814  4 Tm 3.28, 4 La 3.44, 1 Ag 3.53
4 Ag 0.5000 0.5000 0.7254  4 Tm 3.04


8.
## LaTm2Tl2Ag2 (GGA-PBE)

Data for a relaxed structure of LaTm2Tl2Ag2.

* calculated volume: 184.8 Å³/cell
* space group: No. 166
* density: 9.898 Mg/m³
* calculated formation energy: -222 meV/atom
* DOS at the Fermi energy: 7.44 states/eV/cell

Cell lengths 9.2638, 9.2638, 9.2638 Å; angles 30.79, 30.79, 30.79 degrees
Closest atoms and distances in Å follow each position.
Fractional positions:
1 La 0.0000 0.0000 0.0000  6 Tl 3.43, 2 Tm 3.55
2 Tm 0.1341 0.1341 0.1341  3 Ag 2.93, 3 Tl 3.27
3 Tm 0.8659 0.8659 0.8659  3 Ag 2.93, 3 Tl 3.27
4 Tl 0.2606 0.2606 0.2606  3 Ag 2.99, 3 Tm 3.27
5 Tl 0.7394 0.7394 0.7394  3 Ag 2.99, 3 Tm 3.27
6 Ag 0.4409 0.4409 0.4409  3 Tm 2.93, 3 Tl 2.99, 1 Ag 3.13
7 Ag 0.5591 0.5591 0.5591  3 Tm 2.93, 3 Tl 2.99, 1 Ag 3.13


9.
## LaTmTlAg (GGA-PBE)

Data for a relaxed structure of LaTmTlAg.

* calculated volume: 110.5 Å³/cell
* space group: No. 216
* density: 9.318 Mg/m³
* calculated formation energy: -317 meV/atom
* DOS at the Fermi energy: 3.28 states/eV/cell

Cell lengths 5.3865, 5.3865, 5.3865 Å; angles 60.00, 60.00, 60.00 degrees
Closest atoms and distances in Å follow each position.
Fractional positions:
1 La 0.0000 0.0000 0.0000  4 Ag 3.30, 4 Tl 3.30
2 Tm 0.5000 0.5000 0.5000  4 Tl 3.30, 4 Ag 3.30
3 Tl 0.2500 0.2500 0.2500  4 Tm 3.30, 4 La 3.30
4 Ag 0.7500 0.7500 0.7500  4 Tm 3.30, 4 La 3.30


10.
## La2YTl2Ag2 (GGA-PBE)

Data for a relaxed structure of La2YTl2Ag2.

* calculated volume: 195.1 Å³/cell
* space group: No. 166
* density: 8.437 Mg/m³
* calculated formation energy: -227 meV/atom
* DOS at the Fermi energy: 6.23 states/eV/cell

Cell lengths 9.7158, 9.7158, 9.7158 Å; angles 29.36, 29.36, 29.36 degrees
Closest atoms and distances in Å follow each position.
Fractional positions:
1 La 0.1259 0.1259 0.1259  3 Tl 3.27, 3 Ag 3.46, 1 Y 3.51, 3 La 3.64
2 La 0.8741 0.8741 0.8741  3 Tl 3.27, 3 Ag 3.46, 1 Y 3.51, 3 La 3.64
3 Y 0.0000 0.0000 0.0000  6 Ag 3.23, 6 Tl 3.42, 2 La 3.51
4 Tl 0.2651 0.2651 0.2651  3 Ag 2.87
5 Tl 0.7349 0.7349 0.7349  3 Ag 2.87
6 Ag 0.3884 0.3884 0.3884  3 Tl 2.87
7 Ag 0.6116 0.6116 0.6116  3 Tl 2.87


11.
## LaY2Tl2Ag2 (GGA-PBE)

Data for a relaxed structure of LaY2Tl2Ag2.

* calculated volume: 188.9 Å³/cell
* space group: No. 166
* density: 8.275 Mg/m³
* calculated formation energy: -226 meV/atom
* DOS at the Fermi energy: 7.20 states/eV/cell

Cell lengths 9.3341, 9.3341, 9.3341 Å; angles 30.78, 30.78, 30.78 degrees
Closest atoms and distances in Å follow each position.
Fractional positions:
1 La 0.0000 0.0000 0.0000  6 Tl 3.45, 2 Y 3.55
2 Y 0.1334 0.1334 0.1334  3 Ag 2.97, 3 Tl 3.29
3 Y 0.8666 0.8666 0.8666  3 Ag 2.97, 3 Tl 3.29
4 Tl 0.2610 0.2610 0.2610  3 Ag 2.98, 3 Y 3.29
5 Tl 0.7390 0.7390 0.7390  3 Ag 2.98, 3 Y 3.29
6 Ag 0.4371 0.4371 0.4371  3 Y 2.97, 3 Tl 2.98
7 Ag 0.5629 0.5629 0.5629  3 Y 2.97, 3 Tl 2.98


12.
## LaYTlAg (GGA-PBE)

Data for a relaxed structure of LaYTlAg.

* calculated volume: 112.5 Å³/cell
* space group: No. 216
* density: 7.974 Mg/m³
* calculated formation energy: -341 meV/atom
* DOS at the Fermi energy: 3.64 states/eV/cell

Cell lengths 5.4181, 5.4181, 5.4181 Å; angles 60.00, 60.00, 60.00 degrees
Closest atoms and distances in Å follow each position.
Fractional positions:
1 La 0.0000 0.0000 0.0000  4 Tl 3.32, 4 Ag 3.32
2 Y 0.5000 0.5000 0.5000  4 Tl 3.32, 4 Ag 3.32
3 Tl 0.2500 0.2500 0.2500  4 La 3.32, 4 Y 3.32
4 Ag 0.7500 0.7500 0.7500  4 La 3.32, 4 Y 3.32


Which formula does entry 11 have? LaY2Tl2Ag2


What is the calculated formation energy in the first record? 68 meV/atom